Record 1
# Li3Al2Pd3 | Alexandria | PBE | optimized geometry
# - Total moment: 0.000 μB/f.u.
# - Raw total energy: -102.56 eV for the cell shown
data_Li3Al2Pd3
_chemical_formula_sum 'Li9 Al6 Pd9'
_cell_length_a 4.2845
_cell_length_b 4.2845
_cell_length_c 21.1012
_cell_angle_alpha 90.00
_cell_angle_beta 90.00
_cell_angle_gamma 120.00
_space_group_name_H-M_alt 'R 3 m'
_space_group_IT_number 160
_space_group_name_Hall 'R 3 -2"'
loop_
_atom_site_label
_atom_site_type_symbol
_atom_site_fract_x
_atom_site_fract_y
_atom_site_fract_z
Li1 Li 0.0000 0.0000 0.0000
Li2 Li 0.0000 0.0000 0.1266
Li3 Li 0.0000 0.0000 0.4999
Al1 Al 0.0000 0.0000 0.2535
Al2 Al 0.0000 0.0000 0.7472
Pd1 Pd 0.0000 0.0000 0.3765
Pd2 Pd 0.0000 0.0000 0.6242
Pd3 Pd 0.0000 0.0000 0.8741

Record 2
# Mg30ZnCuO32 | Alexandria | PBE | optimized geometry
# - Total moment: 1.001 μB/f.u.
# - Energy relative to the elements, uncorrected: -2587 meV per atom
data_Mg30ZnCuO32
_chemical_formula_sum 'Mg30 Zn1 Cu1 O32'
_cell_length_a 8.5248
_cell_length_b 8.5248
_cell_length_c 8.5048
_cell_angle_alpha 90.00
_cell_angle_beta 90.00
_cell_angle_gamma 90.00
_space_group_name_H-M_alt 'P 4/m m m'
_space_group_IT_number 123
_space_group_name_Hall '-P 4 2'
loop_
_atom_site_label
_atom_site_type_symbol
_atom_site_fract_x
_atom_site_fract_y
_atom_site_fract_z
Mg1 Mg 0.0000 0.0000 0.0000
Mg2 Mg 0.0000 0.0000 0.5000
Mg3 Mg 0.0000 0.2501 0.2502
Mg4 Mg 0.0000 0.5000 0.0000
Mg5 Mg 0.0000 0.5000 0.5000
Mg6 Mg 0.2501 0.2501 0.0000
Mg7 Mg 0.2502 0.5000 0.2513
Mg8 Mg 0.2507 0.2507 0.5000
Zn1 Zn 0.5000 0.5000 0.0000
Cu1 Cu 0.5000 0.5000 0.5000
O1 O 0.0000 0.0000 0.2498
O2 O 0.0000 0.2500 0.0000
O3 O 0.0000 0.2496 0.5000
O4 O 0.0000 0.5000 0.2494
O5 O 0.2445 0.5000 0.5000
O6 O 0.2480 0.5000 0.0000
O7 O 0.2505 0.2505 0.2499
O8 O 0.5000 0.5000 0.2535